Computed, not measured: a relaxed structure of NdTlCoSe3 at the PBE level of DFT. Values from VASP.

Summary:
Calculated volume   25.8 A^3/atom
Uncorrected energy   -4.985 eV/atom

Quantum ESPRESSO input file:
```
&SYSTEM
  ibrav = 0, nat = 24, ntyp = 4
/
ATOMIC_SPECIES
Se 78.96 Se.upf
Nd 144.24 Nd.upf
Co 58.93 Co.upf
Tl 204.38 Tl.upf
ATOMIC_POSITIONS angstrom
Se 0.5842 3.1756 4.1888
Se 6.4306 3.1756 2.0712
Se 9.1312 1.0585 3.6469
Se 11.1087 1.0585 8.3312
Se 1.3261 1.0585 11.7999
Se 4.5204 3.1756 5.5399
Se 10.3668 3.1756 0.7201
Se 5.2623 1.0585 10.4489
Se 2.5618 3.1756 8.8731
Se 7.1725 1.0585 6.9801
Se 3.2847 1.0585 2.6131
Se 8.4082 3.1756 9.9069
Nd 0.2429 1.0585 2.1535
Nd 5.6035 3.1756 8.4135
Nd 11.4500 3.1756 10.3665
Nd 6.0894 1.0585 4.1065
Co 2.9273 1.0585 9.9984
Co 2.9191 3.1756 3.7384
Co 8.7738 1.0585 8.7816
Co 8.7656 3.1756 2.5216
Tl 7.8209 1.0585 12.4528
Tl 1.9744 1.0585 6.3272
Tl 9.7185 3.1756 6.1928
Tl 3.8720 3.1756 0.0672
CELL_PARAMETERS angstrom
11.6929 0.0000 0.0000
0.0000 4.2341 0.0000
0.0000 0.0000 12.5200
```


Computed, not measured: a relaxed structure of NdTlCoSe3 at the PBE level of DFT. Values from VASP.

Summary:
Calculated volume   28.0 A^3/atom
Uncorrected energy   -4.991 eV/atom

Quantum ESPRESSO input file:
```
&SYSTEM
  ibrav = 0, nat = 12, ntyp = 4
/
ATOMIC_SPECIES
Co 58.93 Co.upf
Nd 144.24 Nd.upf
Se 78.96 Se.upf
Tl 204.38 Tl.upf
ATOMIC_POSITIONS angstrom
Co 0.4455 -0.6420 4.3368
Co 4.1805 -2.9928 7.8870
Nd -0.2242 2.4674 2.8612
Nd 3.6943 -0.3885 5.6310
Se 5.1790 -3.2625 10.0533
Se 2.1319 -2.3292 4.0684
Se 1.4980 1.4838 5.0397
Se 3.1280 -5.1186 7.1841
Se -0.5530 -0.3723 2.1705
Se 2.4941 -1.3056 8.1554
Tl 4.8116 0.0063 10.0864
Tl -0.1857 -3.6411 2.1374
CELL_PARAMETERS angstrom
-2.7627 -2.8578 0.9618
7.8370 -5.7118 5.5397
-0.4483 4.9348 5.7224
```